Record 1
Density functional theory data (PBE) for La3Pm2Mg3 after structural relaxation.

a b c (Å): 3.9102 5.6752 23.1222
angles (deg): 90.00 90.00 90.00
Space group Immm (No. 71)
Inequivalent atoms, fractional coordinates:
La: 0.0000 0.0000 0.0000 (multiplicity 2)
La: 0.0000 0.5000 0.1240 (multiplicity 4)
Pm: 0.0000 0.0000 0.2357 (multiplicity 4)
Mg: 0.0000 0.0000 0.5000 (multiplicity 2)
Mg: 0.0000 0.5000 0.3804 (multiplicity 4)


Record 2
Density functional theory data (PBE) for La2PmMg9 after structural relaxation.

a b c (Å): 6.1129 6.1129 30.0044
angles (deg): 90.00 90.00 120.00
Space group R-3m (No. 166, hexagonal axes)
Inequivalent atoms, fractional coordinates:
La: 0.0000 0.0000 0.1433 (multiplicity 6)
Pm: 0.0000 0.0000 0.0000 (multiplicity 3)
Mg: 0.0000 0.0000 0.3340 (multiplicity 6)
Mg: 0.0000 0.0000 0.5000 (multiplicity 3)
Mg: 0.0026 0.5013 0.9176 (multiplicity 18)


| no. | VASP energy (eV/atom) | M_tot (μB per formula unit) |
| --- | --- | --- |
| 1 | -3.71 | 0.0 |
| 2 | -2.49 | 0.0 |